[1]
This record from Alexandria describes AgRhCl after structural relaxation. The functional is GGA-PBE.

```
AgRhCl
1.0
4.274 0.000 0.000
-2.137 3.702 0.000
0.000 0.000 3.276
Ag Rh Cl
1 1 1
Direct
0.000 0.000 0.000
0.333 0.667 0.500
0.667 0.333 0.500
```

- DOS at the Fermi energy (states/eV per atom) = 1.126
- raw formation energy (kJ/mol of formula units) = 116
- energy above the lowest structure with this stoichiometry (eV/atom) = 0.164
- theoretical density (g/cm3) = 7.89

[2]
This record from Alexandria describes AgRhCl2 after structural relaxation. The functional is GGA-PBE.

```
AgRhCl2
1.0
3.951 0.000 0.000
0.000 5.521 0.000
0.000 0.000 7.758
Ag Rh Cl
2 2 4
Direct
0.000 0.000 0.000
0.500 0.500 0.000
0.000 0.500 0.244
0.500 0.000 0.244
0.000 0.000 0.405
0.000 0.500 0.805
0.500 0.000 0.805
0.500 0.500 0.405
```

- DOS at the Fermi energy (states/eV per atom) = 0.467
- raw formation energy (kJ/mol of formula units) = 30
- energy above the lowest structure with this stoichiometry (eV/atom) = 0.284
- theoretical density (g/cm3) = 5.53

[3]
This record from Alexandria describes Ag2RhCl after structural relaxation. The functional is GGA-PBE.

```
Ag2RhCl
1.0
3.002 0.000 0.000
0.000 5.193 0.000
0.000 0.000 9.122
Ag Rh Cl
4 2 2
Direct
0.000 0.000 0.000
0.000 0.500 0.264
0.500 0.000 0.264
0.500 0.500 0.000
0.000 0.500 0.746
0.500 0.000 0.746
0.000 0.000 0.544
0.500 0.500 0.544
```

- DOS at the Fermi energy (states/eV per atom) = 0.673
- raw formation energy (kJ/mol of formula units) = 93
- energy above the lowest structure with this stoichiometry (eV/atom) = 0.085
- theoretical density (g/cm3) = 8.27

[4]
This record from Alexandria describes AgRhCl4 after structural relaxation. The functional is GGA-PBE.

```
AgRhCl4
1.0
0.000 4.124 4.124
4.124 0.000 4.124
4.124 4.124 0.000
Ag Rh Cl
1 1 4
Direct
0.000 0.000 0.000
0.250 0.250 0.250
0.127 0.624 0.624
0.624 0.127 0.624
0.624 0.624 0.127
0.624 0.624 0.624
```

- DOS at the Fermi energy (states/eV per atom) = 0.765
- raw formation energy (kJ/mol of formula units) = 538
- theoretical density (g/cm3) = 4.17

[5]
This record from Alexandria describes Ag2RhCl after structural relaxation. The functional is GGA-PBE.

```
Ag2RhCl
1.0
5.389 0.000 0.000
0.000 8.866 0.000
0.000 0.000 2.941
Ag Rh Cl
4 2 2
Direct
0.250 0.250 0.000
0.250 0.750 0.000
0.750 0.250 0.000
0.750 0.750 0.000
0.000 0.000 0.500
0.500 0.500 0.500
0.000 0.500 0.500
0.500 0.000 0.500
```

- DOS at the Fermi energy (states/eV per atom) = 0.731
- raw formation energy (kJ/mol of formula units) = 133
- energy above the lowest structure with this stoichiometry (eV/atom) = 0.189
- theoretical density (g/cm3) = 8.37

[6]
This record from Alexandria describes Ag2RhCl after structural relaxation. The functional is GGA-PBE.

```
Ag2RhCl
1.0
3.010 0.000 0.000
0.000 3.095 0.000
-0.046 0.000 7.953
Ag Rh Cl
2 1 1
Direct
0.004 0.000 0.231
0.996 0.000 0.769
0.500 0.500 0.000
0.000 0.500 0.500
```

- DOS at the Fermi energy (states/eV per atom) = 0.932
- raw formation energy (kJ/mol of formula units) = 83
- energy above the lowest structure with this stoichiometry (eV/atom) = 0.059
- theoretical density (g/cm3) = 7.94

[7]
This record from Alexandria describes AgRhCl2 after structural relaxation. The functional is GGA-PBE.

```
AgRhCl2
1.0
3.379 0.000 0.000
0.000 3.860 0.000
0.000 0.000 6.254
Ag Rh Cl
1 1 2
Direct
0.000 0.000 0.000
0.500 0.000 0.500
0.000 0.500 0.500
0.500 0.500 0.000
```

- DOS at the Fermi energy (states/eV per atom) = 1.325
- raw formation energy (kJ/mol of formula units) = 67
- energy above the lowest structure with this stoichiometry (eV/atom) = 0.379
- theoretical density (g/cm3) = 5.73

[8]
This record from Alexandria describes Ag5Rh2Cl12 after structural relaxation. The functional is GGA-PBE.

```
Ag5Rh2Cl12
1.0
7.237 -3.598 0.000
7.237 3.598 0.000
-2.143 0.000 9.087
Ag Rh Cl
5 2 12
Direct
0.000 0.000 0.000
0.254 0.254 0.511
0.259 0.259 0.012
0.741 0.741 0.988
0.746 0.746 0.489
0.251 0.749 0.500
0.749 0.251 0.500
0.033 0.033 0.352
0.091 0.588 0.368
0.111 0.625 0.958
0.375 0.889 0.042
0.412 0.909 0.632
0.468 0.468 0.649
0.532 0.532 0.351
0.588 0.091 0.368
0.625 0.111 0.958
0.889 0.375 0.042
0.909 0.412 0.632
0.967 0.967 0.648
```

- DOS at the Fermi energy (states/eV per atom) = 0.273
- raw formation energy (kJ/mol of formula units) = -876
- theoretical density (g/cm3) = 4.11

[9]
This record from Alexandria describes AgRhCl after structural relaxation. The functional is GGA-PBE.

```
AgRhCl
1.0
3.180 0.000 0.000
-1.590 2.754 0.000
0.000 0.000 6.204
Ag Rh Cl
1 1 1
Direct
0.000 0.000 0.000
0.667 0.333 0.662
0.333 0.667 0.393
```

- DOS at the Fermi energy (states/eV per atom) = 0.903
- raw formation energy (kJ/mol of formula units) = 68
- energy above the lowest structure with this stoichiometry (eV/atom) = 0.000
- theoretical density (g/cm3) = 7.53

[10]
This record from Alexandria describes AgRhCl2 after structural relaxation. The functional is GGA-PBE.

```
AgRhCl2
1.0
3.283 0.000 0.000
0.000 3.283 0.000
0.000 0.000 7.427
Ag Rh Cl
1 1 2
Direct
0.000 0.000 0.000
0.500 0.500 0.715
0.000 0.000 0.608
0.500 0.500 0.191
```

- DOS at the Fermi energy (states/eV per atom) = 0.769
- raw formation energy (kJ/mol of formula units) = 39
- energy above the lowest structure with this stoichiometry (eV/atom) = 0.308
- theoretical density (g/cm3) = 5.84

[11]
This record from Alexandria describes AgRhCl2 after structural relaxation. The functional is GGA-PBE.

```
AgRhCl2
1.0
12.896 0.000 0.000
0.000 3.630 0.000
-0.692 0.000 3.829
Ag Rh Cl
2 2 4
Direct
0.000 0.000 0.000
0.500 0.500 0.000
0.345 0.000 0.624
0.845 0.500 0.624
0.041 0.500 0.519
0.296 0.500 0.186
0.541 0.000 0.519
0.796 0.000 0.186
```

- DOS at the Fermi energy (states/eV per atom) = 0.061
- raw formation energy (kJ/mol of formula units) = 41
- energy above the lowest structure with this stoichiometry (eV/atom) = 0.312
- theoretical density (g/cm3) = 5.22

[12]
This record from Alexandria describes Ag2RhCl after structural relaxation. The functional is GGA-PBE.

```
Ag2RhCl
1.0
4.618 0.000 0.000
0.000 3.024 0.000
-1.097 0.000 4.981
Ag Rh Cl
2 1 1
Direct
0.000 0.000 0.000
0.500 0.500 0.000
0.000 0.500 0.500
0.500 0.000 0.500
```

- DOS at the Fermi energy (states/eV per atom) = 0.793
- raw formation energy (kJ/mol of formula units) = 140
- energy above the lowest structure with this stoichiometry (eV/atom) = 0.206
- theoretical density (g/cm3) = 8.45